Entry 1:
# PBE AcAgB, relaxed
# **Uncorrected energy**: -3.733 eV/atom
# **Energy relative to the lowest polymorph listed for this composition**: 476 meV/atom
# **Crystal system**: cubic
data_AcAgB
_chemical_formula_sum 'Ac4 Ag4 B4'
_space_group_name_H-M_alt 'F -4 3 m'
_space_group_IT_number 216
_space_group_name_Hall 'F -4 2 3'
_cell_length_a 6.7333
_cell_length_b 6.7333
_cell_length_c 6.7333
_cell_angle_alpha 90.00
_cell_angle_beta 90.00
_cell_angle_gamma 90.00
loop_
_atom_site_label
_atom_site_fract_x
_atom_site_fract_y
_atom_site_fract_z
_atom_site_occupancy
Ac1 0.0000 0.0000 0.0000 1
Ag1 0.2500 0.2500 0.2500 1
B1 0.0000 0.0000 0.5000 1

Entry 2:
# PBE CoHg2B, relaxed
# **Uncorrected energy**: -2.330 eV/atom
# **Crystal system**: cubic
data_CoHg2B
_chemical_formula_sum 'Co4 Hg8 B4'
_space_group_name_H-M_alt 'F -4 3 m'
_space_group_IT_number 216
_space_group_name_Hall 'F -4 2 3'
_cell_length_a 6.3453
_cell_length_b 6.3453
_cell_length_c 6.3453
_cell_angle_alpha 90.00
_cell_angle_beta 90.00
_cell_angle_gamma 90.00
loop_
_atom_site_label
_atom_site_fract_x
_atom_site_fract_y
_atom_site_fract_z
_atom_site_occupancy
Co1 0.0000 0.0000 0.0000 1
Hg1 0.0000 0.0000 0.5000 1
Hg2 0.2500 0.2500 0.2500 1
B1 0.2500 0.2500 0.7500 1

Entry 3:
# PBE TbDyU, relaxed
# **Uncorrected energy**: -5.557 eV/atom
# **Energy relative to the lowest polymorph listed for this composition**: 0 meV/atom
# **ΔH_f (0 K)**: 3.86 eV per formula unit
# **Crystal system**: cubic
data_TbDyU
_chemical_formula_sum 'Tb4 Dy4 U4'
_space_group_name_H-M_alt 'F -4 3 m'
_space_group_IT_number 216
_space_group_name_Hall 'F -4 2 3'
_cell_length_a 7.4480
_cell_length_b 7.4480
_cell_length_c 7.4480
_cell_angle_alpha 90.00
_cell_angle_beta 90.00
_cell_angle_gamma 90.00
loop_
_atom_site_label
_atom_site_fract_x
_atom_site_fract_y
_atom_site_fract_z
_atom_site_occupancy
Tb1 0.0000 0.0000 0.0000 1
Dy1 0.2500 0.2500 0.2500 1
U1 0.0000 0.0000 0.5000 1

Entry 4:
# PBE As2Pd2O5, relaxed
# **Uncorrected energy**: -4.882 eV/atom
# **Energy relative to the lowest polymorph listed for this composition**: 273 meV/atom
# **Crystal system**: tetragonal
data_As2Pd2O5
_chemical_formula_sum 'As2 Pd2 O5'
_space_group_name_H-M_alt 'P 4/m m m'
_space_group_IT_number 123
_space_group_name_Hall '-P 4 2'
_cell_length_a 4.0075
_cell_length_b 4.0075
_cell_length_c 6.6523
_cell_angle_alpha 90.00
_cell_angle_beta 90.00
_cell_angle_gamma 90.00
loop_
_atom_site_label
_atom_site_fract_x
_atom_site_fract_y
_atom_site_fract_z
_atom_site_occupancy
As1 0.0000 0.0000 0.0000 1
As2 0.0000 0.0000 0.5000 1
Pd1 0.5000 0.5000 0.1919 1
O1 0.0000 0.5000 0.2157 1
O2 0.5000 0.5000 0.5000 1

Entry 5:
# PBE HfHgMo2, relaxed
# **Uncorrected energy**: -7.732 eV/atom
# **ΔH_f (0 K)**: 1.02 eV per formula unit
# **Crystal system**: cubic
data_HfHgMo2
_chemical_formula_sum 'Hf4 Hg4 Mo8'
_space_group_name_H-M_alt 'F -4 3 m'
_space_group_IT_number 216
_space_group_name_Hall 'F -4 2 3'
_cell_length_a 6.6075
_cell_length_b 6.6075
_cell_length_c 6.6075
_cell_angle_alpha 90.00
_cell_angle_beta 90.00
_cell_angle_gamma 90.00
loop_
_atom_site_label
_atom_site_fract_x
_atom_site_fract_y
_atom_site_fract_z
_atom_site_occupancy
Hf1 0.0000 0.0000 0.0000 1
Hg1 0.2500 0.2500 0.7500 1
Mo1 0.0000 0.0000 0.5000 1
Mo2 0.2500 0.2500 0.2500 1

Entry 6:
# PBE Y3Mg3TlCuIr, relaxed
# **Uncorrected energy**: -4.767 eV/atom
# **Crystal system**: hexagonal
data_Y3Mg3TlCuIr
_chemical_formula_sum 'Y3 Mg3 Tl1 Cu1 Ir1'
_space_group_name_H-M_alt 'P -6'
_space_group_IT_number 174
_space_group_name_Hall 'P -6'
_cell_length_a 7.8061
_cell_length_b 7.8061
_cell_length_c 3.8806
_cell_angle_alpha 90.00
_cell_angle_beta 90.00
_cell_angle_gamma 120.00
loop_
_atom_site_label
_atom_site_fract_x
_atom_site_fract_y
_atom_site_fract_z
_atom_site_occupancy
Y1 0.0355 0.6078 0.0000 1
Mg1 0.0001 0.2423 0.5000 1
Tl1 0.6667 0.3333 0.5000 1
Cu1 0.0000 0.0000 0.0000 1
Ir1 0.3333 0.6667 0.5000 1

Entry 7:
# PBE HoCo4B4, relaxed
# **Uncorrected energy**: -7.147 eV/atom
# **Crystal system**: tetragonal
data_HoCo4B4
_chemical_formula_sum 'Ho2 Co8 B8'
_space_group_name_H-M_alt 'P 42/n m c'
_space_group_IT_number 137
_cell_length_a 4.9946
_cell_length_b 4.9946
_cell_length_c 6.9542
_cell_angle_alpha 90.00
_cell_angle_beta 90.00
_cell_angle_gamma 90.00
loop_
_space_group_symop_operation_xyz
'x,y,z'
'-x,-y,-z'
'-y+1/2,x,z+1/2'
'y+1/2,-x,-z+1/2'
'-x+1/2,-y+1/2,z'
'x+1/2,y+1/2,-z'
'y,-x+1/2,z+1/2'
'-y,x+1/2,-z+1/2'
'x+1/2,-y,-z'
'-x+1/2,y,z'
'-y,-x,-z+1/2'
'y,x,z+1/2'
'-x,y+1/2,-z'
'x,-y+1/2,z'
'y+1/2,x+1/2,-z+1/2'
'-y+1/2,-x+1/2,z+1/2'
loop_
_atom_site_label
_atom_site_fract_x
_atom_site_fract_y
_atom_site_fract_z
_atom_site_occupancy
Ho1 0.2500 0.7500 0.2500 1
Co1 0.0040 0.7500 0.6135 1
B1 0.0749 0.2500 0.0907 1

Entry 8:
# PBE LuScAsO, relaxed
# **Uncorrected energy**: -7.140 eV/atom
# **Energy relative to the lowest polymorph listed for this composition**: 0 meV/atom
# **Crystal system**: tetragonal
data_LuScAsO
_chemical_formula_sum 'Lu2 Sc2 As2 O2'
_space_group_name_H-M_alt 'P 4/n m m'
_space_group_IT_number 129
_cell_length_a 4.1079
_cell_length_b 4.1079
_cell_length_c 8.5566
_cell_angle_alpha 90.00
_cell_angle_beta 90.00
_cell_angle_gamma 90.00
loop_
_space_group_symop_operation_xyz
'x,y,z'
'-x,-y,-z'
'-y+1/2,x,z'
'y+1/2,-x,-z'
'-x+1/2,-y+1/2,z'
'x+1/2,y+1/2,-z'
'y,-x+1/2,z'
'-y,x+1/2,-z'
'x+1/2,-y,-z'
'-x+1/2,y,z'
'-y,-x,-z'
'y,x,z'
'-x,y+1/2,-z'
'x,-y+1/2,z'
'y+1/2,x+1/2,-z'
'-y+1/2,-x+1/2,z'
loop_
_atom_site_label
_atom_site_fract_x
_atom_site_fract_y
_atom_site_fract_z
_atom_site_occupancy
Lu1 0.2500 0.2500 0.1075 1
Sc1 0.2500 0.7500 0.5000 1
As1 0.2500 0.2500 0.6970 1
O1 0.2500 0.7500 0.0000 1

Entry 9:
# PBE Hf3Al2Hg2, relaxed
# **Uncorrected energy**: -5.367 eV/atom
# **Crystal system**: trigonal
data_Hf3Al2Hg2
_chemical_formula_sum 'Hf9 Al6 Hg6'
_space_group_name_H-M_alt 'R 3 m'
_space_group_IT_number 160
_space_group_name_Hall 'R 3 -2"'
_cell_length_a 4.7662
_cell_length_b 4.7662
_cell_length_c 23.2541
_cell_angle_alpha 90.00
_cell_angle_beta 90.00
_cell_angle_gamma 120.00
loop_
_atom_site_label
_atom_site_fract_x
_atom_site_fract_y
_atom_site_fract_z
_atom_site_occupancy
Hf1 0.0000 0.0000 0.0000 1
Hf2 0.0000 0.0000 0.2537 1
Hf3 0.0000 0.0000 0.7445 1
Al1 0.0000 0.0000 0.3790 1
Al2 0.0000 0.0000 0.8691 1
Hg1 0.0000 0.0000 0.1323 1
Hg2 0.0000 0.0000 0.6047 1

Entry 10:
# PBE BeCdNiGe, relaxed
# **Uncorrected energy**: -3.286 eV/atom
# **Energy relative to the lowest polymorph listed for this composition**: 128 meV/atom
# **Crystal system**: cubic
data_BeCdNiGe
_chemical_formula_sum 'Be4 Cd4 Ni4 Ge4'
_space_group_name_H-M_alt 'F -4 3 m'
_space_group_IT_number 216
_space_group_name_Hall 'F -4 2 3'
_cell_length_a 6.2160
_cell_length_b 6.2160
_cell_length_c 6.2160
_cell_angle_alpha 90.00
_cell_angle_beta 90.00
_cell_angle_gamma 90.00
loop_
_atom_site_label
_atom_site_fract_x
_atom_site_fract_y
_atom_site_fract_z
_atom_site_occupancy
Be1 0.0000 0.0000 0.0000 1
Cd1 0.0000 0.0000 0.5000 1
Ni1 0.2500 0.2500 0.2500 1
Ge1 0.2500 0.2500 0.7500 1

Entry 11:
# PBE Dy2YFe2Ni7, relaxed
# **Uncorrected energy**: -6.283 eV/atom
# **ΔH_f (0 K)**: -4.14 eV per formula unit
# **Crystal system**: trigonal
data_Dy2YFe2Ni7
_chemical_formula_sum 'Dy6 Y3 Fe6 Ni21'
_space_group_name_H-M_alt 'R -3 m'
_space_group_IT_number 166
_space_group_name_Hall '-R 3 2"'
_cell_length_a 4.9992
_cell_length_b 4.9992
_cell_length_c 24.2557
_cell_angle_alpha 90.00
_cell_angle_beta 90.00
_cell_angle_gamma 120.00
loop_
_atom_site_label
_atom_site_fract_x
_atom_site_fract_y
_atom_site_fract_z
_atom_site_occupancy
Dy1 0.0000 0.0000 0.1389 1
Y1 0.0000 0.0000 0.0000 1
Fe1 0.0000 0.0000 0.3326 1
Ni1 0.0000 0.0000 0.5000 1
Ni2 0.0008 0.5004 0.0815 1

Entry 12:
# PBE Tb2PrNi9, relaxed
# **Uncorrected energy**: -5.720 eV/atom
# **ΔH_f (0 K)**: -4.50 eV per formula unit
# **Crystal system**: trigonal
data_Tb2PrNi9
_chemical_formula_sum 'Tb6 Pr3 Ni27'
_space_group_name_H-M_alt 'R -3 m'
_space_group_IT_number 166
_space_group_name_Hall '-R 3 2"'
_cell_length_a 5.0014
_cell_length_b 5.0014
_cell_length_c 24.3938
_cell_angle_alpha 90.00
_cell_angle_beta 90.00
_cell_angle_gamma 120.00
loop_
_atom_site_label
_atom_site_fract_x
_atom_site_fract_y
_atom_site_fract_z
_atom_site_occupancy
Tb1 0.0000 0.0000 0.1396 1
Pr1 0.0000 0.0000 0.0000 1
Ni1 0.0000 0.0000 0.3329 1
Ni2 0.0000 0.0000 0.5000 1
Ni3 0.0007 0.5004 0.9171 1